1.
Compound: Si2AgPt
Source: the Alexandria database
Functional: PBEsol
Structure: optimized geometry

Cell lengths 2.991, 2.991, 8.011 Å; angles 79.24, 79.24, 60.00 degrees
Element x y z (fractional)
1 Ag 0.495 0.495 0.514
2 Si 0.745 0.745 0.765
3 Si 0.998 0.998 0.005
4 Pt 0.261 0.261 0.217

Calculated values
**Energy relative to the elements, uncorrected**: -0.075 eV/atom
**Total magnetization**: 0.0 μB per formula unit

2.
Compound: Sc2TeP
Source: the Alexandria database
Functional: PBEsol
Structure: optimized geometry

Cell lengths 3.846, 3.846, 6.943 Å; angles 73.92, 73.92, 60.00 degrees
Element x y z (fractional)
1 Sc 0.736 0.736 0.793
2 Sc 0.264 0.264 0.207
3 P 0.000 0.000 0.000
4 Te 0.500 0.500 0.500

Calculated values
**Energy relative to the elements, uncorrected**: -1.440 eV/atom
**Total magnetization**: 0.0 μB per formula unit